Record 1
BaYGeW2 after structural relaxation. Source: the Alexandria database, functional PBE.

## Properties
calculated density	8.35	g/cm3
uncorrected energy	-32.641	eV for the cell shown
volume	132.6	Å³/cell

a b c (Å): 4.818 4.818 5.713
angles (deg): 90.00 90.00 90.00
Space group P4/mmm (No. 123)
Inequivalent atoms, fractional coordinates:
Ba 0.000 0.000 0.000 (multiplicity 1)
Y 0.500 0.500 0.000 (multiplicity 1)
Ge 0.000 0.000 0.500 (multiplicity 1)
W 0.000 0.500 0.500 (multiplicity 2)

---

Record 2
Ba3YGe after structural relaxation. Source: the Alexandria database, functional PBE.

## Properties
calculated density	3.74	g/cm3
energy relative to the lowest polymorph listed for this composition	0.628	eV/atom
volume	254.6	Å³/cell

a b c (Å): 6.338 6.338 6.338
angles (deg): 90.00 90.00 90.00
Space group Pm-3m (No. 221)
Inequivalent atoms, fractional coordinates:
Ba 0.000 0.000 0.500 (multiplicity 3)
Y 0.000 0.000 0.000 (multiplicity 1)
Ge 0.500 0.500 0.500 (multiplicity 1)

---

Record 3
BaY2Ge after structural relaxation. Source: the Alexandria database, functional PBE.

## Properties
calculated density	4.46	g/cm3
uncorrected energy	-78.824	eV for the cell shown
volume	577.5	Å³/cell

a b c (Å): 9.169 9.169 6.870
angles (deg): 90.00 90.00 90.00
Space group I-42d (No. 122)
Inequivalent atoms, fractional coordinates:
Ba 0.000 0.000 0.000 (multiplicity 4)
Y 0.167 0.250 0.625 (multiplicity 8)
Ge 0.000 0.000 0.500 (multiplicity 4)

---

Record 4
Ba3YGe after structural relaxation. Source: the Alexandria database, functional PBE.

## Properties
calculated density	3.57	g/cm3
energy relative to the lowest polymorph listed for this composition	0.000	eV/atom
volume	266.8	Å³/cell

a b c (Å): 6.438 6.438 6.438
angles (deg): 90.00 90.00 90.00
Space group Pm-3m (No. 221)
Inequivalent atoms, fractional coordinates:
Ba 0.000 0.000 0.500 (multiplicity 3)
Y 0.500 0.500 0.500 (multiplicity 1)
Ge 0.000 0.000 0.000 (multiplicity 1)

---

Record 5
BaYGe3 after structural relaxation. Source: the Alexandria database, functional PBE.

## Properties
calculated density	4.58	g/cm3
energy relative to the lowest polymorph listed for this composition	0.000	eV/atom
volume	160.9	Å³/cell

a b c (Å): 5.439 5.439 5.439
angles (deg): 90.00 90.00 90.00
Space group Pm-3m (No. 221)
Inequivalent atoms, fractional coordinates:
Ba 0.000 0.000 0.000 (multiplicity 1)
Y 0.500 0.500 0.500 (multiplicity 1)
Ge 0.000 0.500 0.500 (multiplicity 3)

---

Record 6
BaYGe3 after structural relaxation. Source: the Alexandria database, functional PBE.

## Properties
calculated density	4.33	g/cm3
energy relative to the lowest polymorph listed for this composition	1.028	eV/atom
volume	170.3	Å³/cell

a b c (Å): 5.543 5.543 5.543
angles (deg): 90.00 90.00 90.00
Space group Pm-3m (No. 221)
Inequivalent atoms, fractional coordinates:
Ba 0.000 0.000 0.000 (multiplicity 1)
Y 0.500 0.500 0.500 (multiplicity 1)
Ge 0.000 0.000 0.500 (multiplicity 3)

---

Record 7
BaYGe after structural relaxation. Source: the Alexandria database, functional PBE.

## Properties
calculated density	4.84	g/cm3
uncorrected energy	-57.564	eV for the cell shown
volume	410.5	Å³/cell

a b c (Å): 7.337 7.627 7.337
angles (deg): 90.00 90.00 90.00
Space group Pcca (No. 54)
Inequivalent atoms, fractional coordinates:
Ba 0.250 0.000 0.001 (multiplicity 4)
Y 0.250 0.500 0.000 (multiplicity 4)
Ge 0.000 0.298 0.250 (multiplicity 4)

---

Record 8
Ba2YGe after structural relaxation. Source: the Alexandria database, functional PBE.

## Properties
calculated density	3.65	g/cm3
uncorrected energy	-59.814	eV for the cell shown
volume	794.3	Å³/cell

a b c (Å): 11.835 11.835 5.670
angles (deg): 90.00 90.00 90.00
Space group I-42d (No. 122)
Inequivalent atoms, fractional coordinates:
Ba 0.110 0.250 0.125 (multiplicity 8)
Y 0.000 0.000 0.500 (multiplicity 4)
Ge 0.000 0.000 0.000 (multiplicity 4)

---

Record 9
BaY2Ge2 after structural relaxation. Source: the Alexandria database, functional PBE.

## Properties
calculated density	5.00	g/cm3
energy relative to the lowest polymorph listed for this composition	0.000	eV/atom
volume	305.6	Å³/cell

a b c (Å): 4.904 4.904 12.709
angles (deg): 90.00 90.00 90.00
Space group I4/mmm (No. 139)
Inequivalent atoms, fractional coordinates:
Ba 0.000 0.000 0.000 (multiplicity 2)
Y 0.000 0.500 0.250 (multiplicity 4)
Ge 0.000 0.000 0.383 (multiplicity 4)

---

Record 10
BaY2Ge2 after structural relaxation. Source: the Alexandria database, functional PBE.

## Properties
calculated density	4.57	g/cm3
energy relative to the lowest polymorph listed for this composition	0.113	eV/atom
volume	334.5	Å³/cell

a b c (Å): 5.414 5.414 11.414
angles (deg): 90.00 90.00 90.00
Space group I4/mmm (No. 139)
Inequivalent atoms, fractional coordinates:
Ba 0.000 0.000 0.000 (multiplicity 2)
Y 0.000 0.000 0.326 (multiplicity 4)
Ge 0.000 0.500 0.250 (multiplicity 4)

---

Record 11
BaY2Ge2 after structural relaxation. Source: the Alexandria database, functional PBE.

## Properties
calculated density	5.52	g/cm3
energy relative to the lowest polymorph listed for this composition	0.042	eV/atom
volume	276.9	Å³/cell

a b c (Å): 8.850 8.850 3.535
angles (deg): 90.00 90.00 90.00
Space group P4/mbm (No. 127)
Inequivalent atoms, fractional coordinates:
Ba 0.000 0.000 0.000 (multiplicity 2)
Y 0.140 0.360 0.500 (multiplicity 4)
Ge 0.156 0.656 0.000 (multiplicity 4)

---

Record 12
BaZnGe2 after structural relaxation. Source: the Alexandria database, functional PBE.

## Properties
calculated density	5.71	g/cm3
uncorrected energy	-40.466	eV for the cell shown
volume	303.9	Å³/cell

a b c (Å): 4.4069 4.4069 18.0679
angles (deg): 90.00 90.00 120.00
Space group R-3m (No. 166, hexagonal axes)
Inequivalent atoms, fractional coordinates:
Ba 0.0000 0.0000 0.0000 (multiplicity 3)
Zn 0.0000 0.0000 0.5000 (multiplicity 3)
Ge 0.0000 0.0000 0.2103 (multiplicity 6)

---

Record 13
Ba3ZnGe2 after structural relaxation. Source: the Alexandria database, functional PBE.

## Properties
calculated density	4.44	g/cm3
uncorrected energy	-75.977	eV for the cell shown
volume	930.6	Å³/cell

a b c (Å): 7.997 11.548 10.698
angles (deg): 90.00 109.61 90.00
Space group P2_1/c (No. 14)
Inequivalent atoms, fractional coordinates:
Ba 0.205 0.023 0.387 (multiplicity 4)
Ba 0.247 0.065 0.978 (multiplicity 4)
Ba 0.294 0.726 0.187 (multiplicity 4)
Zn 0.215 0.180 0.671 (multiplicity 4)
Ge 0.039 0.700 0.379 (multiplicity 4)
Ge 0.450 0.041 0.725 (multiplicity 4)

---

Record 14
BaZnGe2 after structural relaxation. Source: the Alexandria database, functional PBE.

## Properties
calculated density	5.83	g/cm3
uncorrected energy	-112.240	eV for the cell shown
volume	792.4	Å³/cell

a b c (Å): 15.135 4.520 11.584
angles (deg): 90.00 90.00 90.00
Space group Pnma (No. 62)
Inequivalent atoms, fractional coordinates:
Ba 0.052 0.250 0.243 (multiplicity 4)
Ba 0.203 0.750 0.514 (multiplicity 4)
Zn 0.057 0.250 0.945 (multiplicity 4)
Zn 0.196 0.750 0.809 (multiplicity 4)
Ge 0.041 0.250 0.525 (multiplicity 4)
Ge 0.111 0.250 0.726 (multiplicity 4)
Ge 0.126 0.750 0.021 (multiplicity 4)
Ge 0.216 0.750 0.223 (multiplicity 4)

---

Record 15
BaZnGe after structural relaxation. Source: the Alexandria database, functional PBE.

## Properties
calculated density	5.44	g/cm3
uncorrected energy	-35.930	eV for the cell shown
volume	335.9	Å³/cell

a b c (Å): 4.638 4.638 15.618
angles (deg): 90.00 90.00 90.00
Space group I4_1md (No. 109)
Inequivalent atoms, fractional coordinates:
Ba 0.000 0.000 0.000 (multiplicity 4)
Zn 0.000 0.000 0.415 (multiplicity 4)
Ge 0.000 0.000 0.583 (multiplicity 4)

---

Record 16
Ba3ZnGe after structural relaxation. Source: the Alexandria database, functional PBE.

## Properties
calculated density	4.50	g/cm3
energy relative to the lowest polymorph listed for this composition	0.000	eV/atom
volume	405.8	Å³/cell

a b c (Å): 4.443 9.346 10.068
angles (deg): 87.17 89.89 76.38
Space group P-1 (No. 2)
Inequivalent atoms, fractional coordinates:
Ba 0.049 0.405 0.161 (multiplicity 2)
Ba 0.240 0.020 0.832 (multiplicity 2)
Ba 0.394 0.708 0.412 (multiplicity 2)
Zn 0.218 0.065 0.450 (multiplicity 2)
Ge 0.391 0.718 0.076 (multiplicity 2)

---

Record 17
BaZn4Ge2 after structural relaxation. Source: the Alexandria database, functional PBE.

## Properties
calculated density	6.07	g/cm3
uncorrected energy	-52.442	eV for the cell shown
volume	446.5	Å³/cell

a b c (Å): 4.4913 4.4913 25.5571
angles (deg): 90.00 90.00 120.00
Space group R-3m (No. 166, hexagonal axes)
Inequivalent atoms, fractional coordinates:
Ba 0.0000 0.0000 0.0000 (multiplicity 3)
Zn 0.0000 0.0000 0.1413 (multiplicity 6)
Zn 0.0000 0.0000 0.4283 (multiplicity 6)
Ge 0.0000 0.0000 0.2430 (multiplicity 6)

---

Record 18
BaZn4Ge3 after structural relaxation. Source: the Alexandria database, functional PBE.

## Properties
calculated density	6.13	g/cm3
uncorrected energy	-22.684	eV for the cell shown
volume	167.0	Å³/cell

a b c (Å): 4.585 4.585 7.943
angles (deg): 90.00 90.00 90.00
Space group P4/mmm (No. 123)
Inequivalent atoms, fractional coordinates:
Ba 0.000 0.000 0.000 (multiplicity 1)
Zn 0.000 0.500 0.328 (multiplicity 4)
Ge 0.000 0.000 0.500 (multiplicity 1)
Ge 0.500 0.500 0.163 (multiplicity 2)

---

Record 19
Ba2Zn2Ge after structural relaxation. Source: the Alexandria database, functional PBE.

## Properties
calculated density	5.02	g/cm3
energy relative to the lowest polymorph listed for this composition	0.000	eV/atom
volume	632.0	Å³/cell

a b c (Å): 12.547 4.473 12.245
angles (deg): 90.00 113.11 90.00
Space group C2/m (No. 12)
Inequivalent atoms, fractional coordinates:
Ba 0.099 0.000 0.395 (multiplicity 4)
Ba 0.198 0.500 0.132 (multiplicity 4)
Zn 0.035 0.000 0.910 (multiplicity 4)
Zn 0.120 0.500 0.630 (multiplicity 4)
Ge 0.070 0.500 0.822 (multiplicity 4)

---

Record 20
BaZnGe2 after structural relaxation. Source: the Alexandria database, functional PBE.

## Properties
calculated density	4.98	g/cm3
uncorrected energy	-26.514	eV for the cell shown
volume	231.9	Å³/cell

a b c (Å): 4.653 6.174 8.071
angles (deg): 90.00 90.00 90.00
Space group Amm2 (No. 38)
Inequivalent atoms, fractional coordinates:
Ba 0.000 0.000 0.000 (multiplicity 2)
Zn 0.500 0.000 0.421 (multiplicity 2)
Ge 0.500 0.195 0.709 (multiplicity 4)